1.
A plane-wave DFT calculation with GGA-PBE was carried out for Li6Cd12Rh after structural relaxation.

* SG: No. 148
* raw total energy: -1.767 eV/atom
* magnetic moment: 0.00 μB/f.u.

abc: 7.182 7.182 7.182
angles: 90.05 90.05 90.05
Atoms (fractional coordinates):
Li 0.236 0.757 0.393
Li 0.243 0.607 0.764
Li 0.393 0.236 0.757
Li 0.607 0.764 0.243
Li 0.757 0.393 0.236
Li 0.764 0.243 0.607
Cd 0.032 0.303 0.938
Cd 0.062 0.968 0.697
Cd 0.136 0.349 0.477
Cd 0.303 0.938 0.032
Cd 0.349 0.477 0.136
Cd 0.477 0.136 0.349
Cd 0.523 0.864 0.651
Cd 0.651 0.523 0.864
Cd 0.697 0.062 0.968
Cd 0.864 0.651 0.523
Cd 0.938 0.032 0.303
Cd 0.968 0.697 0.062
Rh 0.500 0.500 0.500


2.
A plane-wave DFT calculation with GGA-PBE was carried out for SrPr14Er after structural relaxation.

* SG: No. 123
* raw total energy: -4.532 eV/atom
* magnetic moment: 0.00 μB/f.u.

abc: 7.473 7.473 10.471
angles: 90.00 90.00 90.00
Atoms (fractional coordinates):
Sr 0.000 0.000 0.000
Pr 0.000 0.000 0.500
Pr 0.000 0.500 0.000
Pr 0.000 0.500 0.500
Pr 0.257 0.257 0.253
Pr 0.257 0.257 0.747
Pr 0.257 0.743 0.253
Pr 0.257 0.743 0.747
Pr 0.500 0.000 0.000
Pr 0.500 0.000 0.500
Pr 0.500 0.500 0.500
Pr 0.743 0.257 0.253
Pr 0.743 0.257 0.747
Pr 0.743 0.743 0.253
Pr 0.743 0.743 0.747
Er 0.500 0.500 0.000


3.
A plane-wave DFT calculation with GGA-PBE was carried out for Al4V2Cu after structural relaxation.

* SG: No. 139
* raw total energy: -4.792 eV/atom
* magnetic moment: 0.00 μB/f.u.

abc: 4.564 4.564 12.512
angles: 90.00 90.00 90.00
Atoms (fractional coordinates):
Al 0.000 0.000 0.193
Al 0.000 0.000 0.807
Al 0.000 0.500 0.000
Al 0.000 0.500 0.500
Al 0.500 0.000 0.000
Al 0.500 0.000 0.500
Al 0.500 0.500 0.307
Al 0.500 0.500 0.693
V 0.000 0.000 0.404
V 0.000 0.000 0.596
V 0.500 0.500 0.096
V 0.500 0.500 0.904
Cu 0.000 0.000 0.000
Cu 0.500 0.500 0.500


4.
A plane-wave DFT calculation with GGA-PBE was carried out for ZnTeF6 after structural relaxation.

* SG: No. 148
* raw total energy: -4.107 eV/atom
* magnetic moment: 0.00 μB/f.u.
* energy above the most stable polymorph in this dataset: 0.0 meV per atom
* raw formation energy: -207.58 kJ per mole of atoms

abc: 5.766 5.766 5.766
angles: 56.12 56.12 56.12
Atoms (fractional coordinates):
Zn 0.000 0.000 0.000
Te 0.500 0.500 0.500
F 0.132 0.363 0.753
F 0.247 0.868 0.637
F 0.363 0.753 0.132
F 0.637 0.247 0.868
F 0.753 0.132 0.363
F 0.868 0.637 0.247


5.
A plane-wave DFT calculation with GGA-PBE was carried out for CeYZnIr after structural relaxation.

* SG: No. 216
* raw total energy: -6.144 eV/atom
* magnetic moment: 0.68 μB/f.u.

abc: 7.056 7.056 7.056
angles: 90.00 90.00 90.00
Atoms (fractional coordinates):
Ce 0.000 0.000 0.000
Ce 0.000 0.500 0.500
Ce 0.500 0.000 0.500
Ce 0.500 0.500 0.000
Y 0.000 0.000 0.500
Y 0.000 0.500 0.000
Y 0.500 0.000 0.000
Y 0.500 0.500 0.500
Zn 0.250 0.250 0.750
Zn 0.250 0.750 0.250
Zn 0.750 0.250 0.250
Zn 0.750 0.750 0.750
Ir 0.250 0.250 0.250
Ir 0.250 0.750 0.750
Ir 0.750 0.250 0.750
Ir 0.750 0.750 0.250


6.
A plane-wave DFT calculation with GGA-PBE was carried out for HfTaHRu2 after structural relaxation.

* SG: No. 123
* raw total energy: -8.957 eV/atom
* magnetic moment: 0.00 μB/f.u.

abc: 4.265 4.265 3.784
angles: 90.00 90.00 90.00
Atoms (fractional coordinates):
Hf 0.000 0.000 0.000
Ta 0.500 0.500 0.000
H 0.500 0.500 0.500
Ru 0.000 0.500 0.500
Ru 0.500 0.000 0.500


7.
A plane-wave DFT calculation with GGA-PBE was carried out for Th2TiRh after structural relaxation.

* SG: No. 166
* raw total energy: -7.285 eV/atom
* magnetic moment: 0.90 μB/f.u.

abc: 3.320 3.320 30.892
angles: 90.00 90.00 120.00
Atoms (fractional coordinates):
Th 0.000 0.000 0.093
Th 0.000 0.000 0.907
Th 0.333 0.667 0.573
Th 0.333 0.667 0.760
Th 0.667 0.333 0.240
Th 0.667 0.333 0.427
Ti 0.000 0.000 0.000
Ti 0.333 0.667 0.667
Ti 0.667 0.333 0.333
Rh 0.000 0.000 0.500
Rh 0.333 0.667 0.167
Rh 0.667 0.333 0.833


8.
A plane-wave DFT calculation with GGA-PBE was carried out for TcTe2P after structural relaxation.

* SG: No. 71
* raw total energy: -5.348 eV/atom
* magnetic moment: 0.00 μB/f.u.
* raw formation energy: 16.10 kJ per mole of atoms

abc: 3.118 3.755 16.254
angles: 90.00 90.00 90.00
Atoms (fractional coordinates):
Tc 0.000 0.000 0.000
Tc 0.500 0.500 0.500
Te 0.000 0.500 0.351
Te 0.000 0.500 0.649
Te 0.500 0.000 0.149
Te 0.500 0.000 0.851
P 0.000 0.000 0.500
P 0.500 0.500 0.000


Question: Which of these has the highest raw total energy?
Answer: Li6Cd12Rh